First-principles (PBE) data for a relaxed Pu3Pa3NbN8 crystal, as listed in the Alexandria database.

Lattice parameters (Å, degrees): 6.852 6.852 6.852 60.27 60.27 60.27
Sites, in units of the cell vectors:
Pu1 0.000 0.500 0.500
Pu2 0.500 0.000 0.500
Pu3 0.500 0.500 0.000
Pa1 0.000 0.000 0.500
Pa2 0.000 0.500 0.000
Pa3 0.500 0.000 0.000
Nb1 0.500 0.500 0.500
N1 0.247 0.247 0.247
N2 0.263 0.727 0.727
N3 0.273 0.273 0.737
N4 0.273 0.737 0.273
N5 0.727 0.263 0.727
N6 0.727 0.727 0.263
N7 0.737 0.273 0.273
N8 0.753 0.753 0.753

## Properties
formation energy from raw total energies	-1.322	eV per atom
crystal system	trigonal